No. 1
CaMgSnH after structural relaxation. Source: Alexandria, functional PBE-GGA.

Results
DFT total energy ... -25.05 eV per cell

Lattice parameters (Å, degrees): 4.264 4.264 9.264 90.00 90.00 90.00
Space group P4/nmm (No. 129, origin choice 2)
Asymmetric unit:
Ca 0.250 0.250 0.111 (multiplicity 2)
Mg 0.250 0.750 0.500 (multiplicity 2)
Sn 0.250 0.250 0.720 (multiplicity 2)
H 0.250 0.750 0.000 (multiplicity 2)



No. 2
Pa3Ge2Pt4 after structural relaxation. Source: Alexandria, functional PBE-GGA.

Results
DFT total energy ... -140.72 eV per cell
ΔH_f (0 K) ... -0.94 eV per atom

Lattice parameters (Å, degrees): 10.529 4.431 8.569 90.00 116.67 90.00
Space group C2/m (No. 12)
Asymmetric unit:
Pa 0.000 0.000 0.000 (multiplicity 2)
Pa 0.140 0.500 0.681 (multiplicity 4)
Ge 0.149 0.500 0.314 (multiplicity 4)
Pt 0.079 0.000 0.402 (multiplicity 4)
Pt 0.211 0.500 0.064 (multiplicity 4)



No. 3
Tb3MgH after structural relaxation. Source: Alexandria, functional PBE-GGA.

Results
DFT total energy ... -19.56 eV per cell

Lattice parameters (Å, degrees): 4.908 4.908 4.908 90.00 90.00 90.00
Space group Pm-3m (No. 221)
Asymmetric unit:
Tb 0.000 0.000 0.500 (multiplicity 3)
Mg 0.500 0.500 0.500 (multiplicity 1)
H 0.000 0.000 0.000 (multiplicity 1)



No. 4
Nd6Ho2Tm after structural relaxation. Source: Alexandria, functional PBE-GGA.

Results
DFT total energy ... -165.95 eV per cell
ΔH_f (0 K) ... 0.08 eV per atom

Lattice parameters (Å, degrees): 16.424 11.845 6.252 90.00 96.12 90.00
Space group C2/c (No. 15)
Asymmetric unit:
Nd 0.048 0.141 0.014 (multiplicity 8)
Nd 0.118 0.359 0.320 (multiplicity 8)
Nd 0.214 0.359 0.847 (multiplicity 8)
Ho 0.167 0.100 0.583 (multiplicity 8)
Tm 0.000 0.400 0.750 (multiplicity 4)



No. 5
TaBeW2 after structural relaxation. Source: Alexandria, functional PBE-GGA.

Results
DFT total energy ... -41.06 eV per cell
ΔH_f (0 K) ... 0.11 eV per atom

Lattice parameters (Å, degrees): 3.217 3.217 5.810 90.00 90.00 90.00
Space group P4/mmm (No. 123)
Asymmetric unit:
Ta 0.000 0.000 0.000 (multiplicity 1)
Be 0.000 0.000 0.500 (multiplicity 1)
W 0.500 0.500 0.284 (multiplicity 2)



No. 6
LiTcIr2 after structural relaxation. Source: Alexandria, functional PBE-GGA.

Results
DFT total energy ... -30.12 eV per cell
ΔH_f (0 K) ... -0.03 eV per atom

Lattice parameters (Å, degrees): 2.730 3.947 5.149 90.00 90.00 90.00
Space group Pmm2 (No. 25)
Asymmetric unit:
Li 0.000 0.000 0.000 (multiplicity 1)
Tc 0.500 0.500 0.268 (multiplicity 1)
Ir 0.000 0.000 0.499 (multiplicity 1)
Ir 0.500 0.500 0.796 (multiplicity 1)